1.
First-principles (GGA-PBEsol) data for ReTe2Au after structural relaxation, as listed in the Alexandria database.

POSCAR file:
```
ReTe2Au
1.0
3.1962 0.0000 0.0000
0.0000 4.3520 0.0000
0.0000 0.0000 12.4634
Re Te Au
2 4 2
Cartesian
0.0000 0.0000 0.0000
1.5981 2.1760 6.2317
0.0000 0.0000 5.6136
0.0000 2.1760 8.3503
1.5981 0.0000 2.1186
1.5981 2.1760 11.8453
0.0000 2.1760 3.6683
1.5981 0.0000 9.9000
```

Properties
* formation energy (no corrections): 524 meV/atom

2.
First-principles (GGA-PBEsol) data for SrCa3La after structural relaxation, as listed in the Alexandria database.

POSCAR file:
```
SrCa3La
1.0
5.9488 0.0000 0.0000
0.0000 5.9488 0.0000
0.0000 0.0000 5.9488
Sr Ca La
1 3 1
Cartesian
0.0000 0.0000 0.0000
0.0000 0.0000 2.9744
0.0000 2.9744 0.0000
2.9744 0.0000 0.0000
2.9744 2.9744 2.9744
```

Properties
* formation enthalpy at 0 K: 4.05 eV per formula unit

3.
First-principles (GGA-PBEsol) data for Y2TcAu after structural relaxation, as listed in the Alexandria database.

POSCAR file:
```
Y2TcAu
1.0
3.5769 0.0000 0.0000
0.0000 4.6836 0.0000
0.0000 0.0000 9.9281
Y Tc Au
4 2 2
Cartesian
0.0000 0.0000 0.0000
0.0000 2.3418 2.1815
1.7884 0.0000 7.1456
1.7884 2.3418 4.9640
0.0000 0.0000 4.8074
1.7884 2.3418 9.7714
0.0000 2.3418 7.5928
1.7884 0.0000 2.6288
```

Properties
* formation enthalpy at 0 K: -0.64 eV per formula unit

4.
First-principles (GGA-PBEsol) data for SrSb2 after structural relaxation, as listed in the Alexandria database.

POSCAR file:
```
SrSb2
1.0
4.4365 0.0000 0.0000
0.0000 4.4365 0.0000
0.0000 0.0000 5.1070
Sr Sb
1 2
Cartesian
0.0000 0.0000 0.0000
0.0000 2.2182 2.5535
2.2182 0.0000 2.5535
```

Properties
* formation energy (no corrections): -624 meV/atom

5.
First-principles (GGA-PBEsol) data for ReNiHg2 after structural relaxation, as listed in the Alexandria database.

POSCAR file:
```
ReNiHg2
1.0
10.5558 0.0000 0.0000
0.0000 2.7349 0.0000
-1.9271 0.0000 4.5498
Re Ni Hg
2 2 4
Cartesian
0.0000 0.0000 0.0000
5.2779 1.3674 0.0000
1.4298 1.3674 1.5439
6.7077 0.0000 1.5439
0.8634 0.0000 3.9319
3.9077 0.0000 2.1404
6.1413 1.3674 3.9319
9.1856 1.3674 2.1404
```

Properties
* formation enthalpy at 0 K: 2.22 eV per formula unit

6.
First-principles (GGA-PBEsol) data for CaTl2In after structural relaxation, as listed in the Alexandria database.

POSCAR file:
```
CaTl2In
1.0
4.6224 0.0000 0.0000
0.0000 4.6260 0.0000
0.0000 0.0000 9.8771
Ca Tl In
2 4 2
Cartesian
0.0000 0.0000 0.0000
2.3112 2.3130 4.9386
0.0000 0.0000 4.9439
0.0000 2.3130 7.4112
2.3112 0.0000 2.4726
2.3112 2.3130 0.0054
0.0000 2.3130 2.4685
2.3112 0.0000 7.4071
```

Properties
* formation enthalpy at 0 K: -1.13 eV per formula unit

Number 1: total magnetization 0.00 μB per atom. Number 2: total magnetization 0.20 μB per atom. Number 3: total magnetization 0.00 μB per atom. Number 4: total magnetization 0.00 μB per atom. Number 5: total magnetization 0.00 μB per atom. Number 6: total magnetization 0.00 μB per atom.